A geometry-optimized Ti5Be2Ga structure, computed with GGA-PBE.

Cell and atoms, written as POSCAR:
```
Ti5Be2Ga
1.0
6.589 0.000 0.000
0.000 6.589 0.000
-3.294 -3.294 5.539
Ti Be Ga
10 4 2
Direct
0.191 0.013 0.704
0.809 0.987 0.296
0.487 0.309 0.296
0.691 0.191 0.704
0.500 0.500 0.000
0.309 0.809 0.296
0.513 0.691 0.704
0.987 0.487 0.296
0.000 0.000 0.000
0.013 0.513 0.704
0.874 0.626 0.000
0.374 0.874 0.000
0.626 0.126 0.000
0.126 0.374 0.000
0.750 0.750 0.500
0.250 0.250 0.500
```

A geometry-optimized Ti4BeGa2 structure, computed with GGA-PBE.

Cell and atoms, written as POSCAR:
```
Ti4BeGa2
1.0
4.220 0.000 0.000
0.000 4.220 0.000
2.110 2.110 6.798
Ti Ga Be
4 2 1
Direct
0.000 0.500 0.000
0.169 0.169 0.661
0.831 0.831 0.339
0.500 0.000 0.000
0.367 0.367 0.267
0.633 0.633 0.733
0.000 0.000 0.000
```

A geometry-optimized Ti5Be2Ga5 structure, computed with GGA-PBE.

Cell and atoms, written as POSCAR:
```
Ti5Be2Ga5
1.0
-3.133 1.974 -1.392
-2.786 -4.034 -5.071
-5.190 -0.981 4.669
Ga Ti Be
5 5 2
Direct
0.944 0.302 0.810
0.304 0.757 0.635
0.696 0.243 0.365
0.000 0.000 0.000
0.056 0.698 0.190
0.311 0.294 0.083
0.352 0.968 0.328
0.000 0.500 0.500
0.648 0.032 0.672
0.689 0.706 0.917
0.605 0.546 0.244
0.395 0.454 0.756
```

A geometry-optimized Ti5BeGa4 structure, computed with GGA-PBE.

Cell and atoms, written as POSCAR:
```
Ti5BeGa4
1.0
4.284 0.000 0.000
2.142 6.184 0.000
2.142 0.000 6.184
Ga Ti Be
4 5 1
Direct
0.188 0.313 0.313
0.814 0.687 0.687
0.501 0.313 0.687
0.501 0.687 0.313
0.183 0.636 0.000
0.819 0.364 0.000
0.819 0.000 0.364
0.501 0.000 0.000
0.183 0.000 0.636
0.001 0.000 0.000
```

Calculated values
energy relative to the lowest polymorph listed for this composition	266.1	meV per atom

A geometry-optimized Ti2BeGa structure, computed with GGA-PBE.

Cell and atoms, written as POSCAR:
```
Ti2BeGa
1.0
-0.469 2.198 -1.674
-1.201 -1.691 -1.885
-6.439 1.039 3.169
Ga Ti Be
1 2 1
Direct
0.500 0.500 0.500
0.000 0.000 0.772
0.000 0.000 0.228
0.500 0.500 0.000
```

Calculated values
energy relative to the lowest polymorph listed for this composition	13.6	meV per atom

A geometry-optimized Ti3BeGa structure, computed with GGA-PBE.

Cell and atoms, written as POSCAR:
```
Ti3BeGa
1.0
4.352 0.000 0.000
0.000 4.352 0.000
0.000 0.000 4.352
Ti Ga Be
3 1 1
Direct
0.500 0.000 0.000
0.000 0.500 0.000
0.000 0.000 0.500
0.500 0.500 0.500
0.000 0.000 0.000
```

Calculated values
energy relative to the lowest polymorph listed for this composition	173.8	meV per atom

A geometry-optimized Ti3BeGa structure, computed with GGA-PBE.

Cell and atoms, written as POSCAR:
```
Ti3BeGa
1.0
4.735 0.000 0.000
0.000 6.145 -0.001
0.000 -3.072 5.322
Ti Ga Be
6 2 2
Direct
0.250 0.815 0.185
0.750 0.630 0.815
0.750 0.185 0.370
0.250 0.815 0.630
0.250 0.370 0.185
0.750 0.185 0.815
0.250 0.334 0.666
0.750 0.666 0.334
0.000 0.000 0.000
0.500 0.000 0.000
```

Calculated values
energy relative to the lowest polymorph listed for this composition	0.0	meV per atom

A geometry-optimized Ti4BeGa3 structure, computed with GGA-PBE.

Cell and atoms, written as POSCAR:
```
Ti4BeGa3
1.0
-0.067 -2.834 -1.209
3.672 -0.597 1.194
-3.496 -3.712 8.893
Ti Ga Be
4 3 1
Direct
0.000 0.500 0.839
0.500 0.000 0.673
0.000 0.000 0.160
0.500 0.500 0.321
0.000 0.000 0.422
0.500 0.000 0.939
0.000 0.500 0.576
0.500 0.500 0.070
```

A geometry-optimized Ti7Be2Ga2 structure, computed with GGA-PBE.

Cell and atoms, written as POSCAR:
```
Ti7Be2Ga2
1.0
5.586 -0.002 -0.763
0.003 6.050 0.003
-1.110 -0.002 5.528
Ti Ga Be
7 2 2
Direct
0.000 0.731 0.500
0.000 0.269 0.500
0.000 0.000 0.000
0.500 0.757 0.500
0.500 0.731 0.000
0.500 0.243 0.500
0.500 0.269 0.000
0.180 0.500 0.180
0.820 0.500 0.820
0.283 0.000 0.717
0.717 0.000 0.283
```

A geometry-optimized Ti3Be2Ga3 structure, computed with GGA-PBE.

Cell and atoms, written as POSCAR:
```
Ti3Be2Ga3
1.0
-0.676 0.637 3.646
-1.396 -4.619 -1.394
11.773 -4.453 2.962
Be Ga Ti
4 6 6
Direct
0.787 0.573 0.612
0.787 0.573 0.888
0.213 0.427 0.388
0.213 0.427 0.112
0.366 0.733 0.250
0.634 0.267 0.750
0.373 0.746 0.960
0.627 0.254 0.040
0.373 0.746 0.540
0.627 0.254 0.460
0.074 0.148 0.887
0.349 0.698 0.750
0.926 0.852 0.113
0.651 0.302 0.250
0.926 0.852 0.387
0.074 0.148 0.613
```

A geometry-optimized Ti3Be4Ga2 structure, computed with GGA-PBE.

Cell and atoms, written as POSCAR:
```
Ti3Be4Ga2
1.0
-2.929 2.523 -0.245
-0.845 -3.652 3.116
4.288 5.248 2.786
Be Ti Ga
4 3 2
Direct
0.052 0.104 0.394
0.730 0.461 0.053
0.948 0.896 0.606
0.270 0.539 0.947
0.338 0.676 0.327
0.000 0.000 0.000
0.662 0.324 0.673
0.382 0.765 0.719
0.618 0.235 0.281
```

A geometry-optimized Ti3BeGa2 structure, computed with GGA-PBE.

Cell and atoms, written as POSCAR:
```
Ti3BeGa2
1.0
-0.169 -2.468 2.991
7.209 4.169 3.848
-6.301 6.372 4.901
Ga Ti Be
8 12 4
Direct
0.750 0.042 0.689
0.250 0.542 0.811
0.250 0.958 0.311
0.250 0.673 0.475
0.750 0.173 0.025
0.750 0.458 0.189
0.250 0.827 0.975
0.750 0.327 0.525
0.250 0.098 0.862
0.750 0.332 0.799
0.750 0.879 0.468
0.250 0.379 0.032
0.750 0.598 0.638
0.750 0.902 0.138
0.250 0.668 0.201
0.750 0.621 0.968
0.750 0.168 0.299
0.250 0.832 0.701
0.250 0.402 0.362
0.250 0.121 0.532
0.250 0.396 0.627
0.750 0.896 0.873
0.750 0.604 0.373
0.250 0.104 0.127
```

Calculated values
energy relative to the lowest polymorph listed for this composition	0.0	meV per atom

The following DFT formation energy values (in meV per atom) correspond, in order, to the records above: -141; 68; -389; -122; -262; 120; -54; -347; 141; -364; -308; -347.